A relaxed MnFe2F8 crystal, computed with GGA+U.

Cell: 6.676 6.676 4.968 Å, 111.42 111.42 47.07°
Positions (direct):
1 Mn 0.000 0.000 0.000
2 Fe 0.239 0.239 0.692
3 Fe 0.761 0.761 0.308
4 F 0.093 0.615 0.668
5 F 0.094 0.094 0.743
6 F 0.318 0.318 0.095
7 F 0.385 0.907 0.332
8 F 0.615 0.093 0.668
9 F 0.682 0.682 0.905
10 F 0.906 0.906 0.257
11 F 0.907 0.385 0.332

## Properties
The crystal system is monoclinic. The calculation puts the size of the total moment at 15.00 μB/cell. The density of states at the Fermi level is 0.0 states/eV/cell. For the relative energy among the computed polymorphs, the calculation gives 0.0583 eV/atom. The space-group type is No. 12.